(1)
VASP calculation (PBE) on a relaxed structure of Sr2RhCBr.

a = 5.582 Å, b = 5.582 Å, c = 3.891 Å
α = 90.00°, β = 90.00°, γ = 90.00°
Element x y z (fractional)
Sr 0.000 0.500 0.000
Sr 0.500 0.000 0.000
Rh 0.000 0.000 0.500
C 0.000 0.000 0.000
Br 0.500 0.500 0.500

ΔE_f (raw): -0.658 eV per atom

(2)
VASP calculation (PBE) on a relaxed structure of Tl2RhCBr.

a = 6.286 Å, b = 6.286 Å, c = 4.645 Å
α = 90.00°, β = 90.00°, γ = 90.00°
Element x y z (fractional)
Tl 0.000 0.500 0.000
Tl 0.500 0.000 0.000
Rh 0.000 0.000 0.500
C 0.500 0.500 0.500
Br 0.000 0.000 0.000

ΔE_f (raw): 1.690 eV per atom

(3)
VASP calculation (PBE) on a relaxed structure of RuC3Br.

a = 4.056 Å, b = 4.056 Å, c = 4.056 Å
α = 90.00°, β = 90.00°, γ = 90.00°
Element x y z (fractional)
Ru 0.000 0.000 0.000
C 0.000 0.000 0.500
C 0.000 0.500 0.000
C 0.500 0.000 0.000
Br 0.500 0.500 0.500

Energy relative to the lowest polymorph listed for this composition: 0.0 meV/atom
ΔE_f (raw): 2.103 eV per atom

(4)
VASP calculation (PBE) on a relaxed structure of RuCBr2.

a = 3.818 Å, b = 3.818 Å, c = 22.160 Å
α = 90.00°, β = 90.00°, γ = 120.00°
Element x y z (fractional)
Ru 0.000 0.000 0.000
Ru 0.333 0.667 0.667
Ru 0.667 0.333 0.333
C 0.000 0.000 0.500
C 0.333 0.667 0.167
C 0.667 0.333 0.833
Br 0.000 0.000 0.392
Br 0.000 0.000 0.608
Br 0.333 0.667 0.059
Br 0.333 0.667 0.275
Br 0.667 0.333 0.725
Br 0.667 0.333 0.941

Energy relative to the lowest polymorph listed for this composition: 0.0 meV/atom
ΔE_f (raw): 1.710 eV per atom